(1)
This record from Alexandria via LeMat-Bulk describes crystalline CuSb2O6 at its relaxed geometry. The functional is GGA-PBE.

Cell: 8.8348 8.8348 4.5402 Å, 90.00 90.00 120.00°
Closest atoms and distances in Å follow each position.
Space group P321 (No. 150)
Unique sites:
Cu 0.0000 0.0000 0.0000  6 O 2.03
Cu 0.3333 0.6667 0.5038  6 O 2.05
Sb 0.0000 0.3150 0.5000  6 O 2.01-2.06
Sb 0.0000 0.6490 0.0000  6 O 2.02-2.06
O 0.1043 0.8785 0.7642  2 Sb 2.01-2.06, 1 Cu 2.03
O 0.1079 0.5403 0.7469  2 Sb 2.02-2.06, 1 Cu 2.05
O 0.2164 0.7765 0.2636  2 Sb 2.02-2.05, 1 Cu 2.05

Computed properties:
raw formation energy	-1.106	eV/atom
uncorrected energy	-156.1	eV per cell
excess energy over the best structure of this formula in the dataset	66	meV/atom
crystal system	trigonal

(2)
This record from Alexandria via LeMat-Bulk describes crystalline CrAuBr2 at its relaxed geometry. The functional is GGA-PBE.

Cell: 7.0951 7.0951 7.0951 Å, 90.00 90.00 90.00°
Closest atoms and distances in Å follow each position.
Space group F-43m (No. 216)
Unique sites:
Cr 0.0000 0.0000 0.0000  4 Br 3.07, 4 Au 3.07
Au 0.2500 0.2500 0.2500  4 Cr 3.07, 4 Br 3.07
Br 0.0000 0.0000 0.5000  4 Br 3.07, 4 Au 3.07
Br 0.2500 0.2500 0.7500  4 Cr 3.07, 4 Br 3.07

Computed properties:
raw formation energy	0.480	eV/atom
uncorrected energy	-57.3	eV per cell
excess energy over the best structure of this formula in the dataset	700	meV/atom
crystal system	cubic

(3)
This record from Alexandria via LeMat-Bulk describes crystalline NaPr2Dy at its relaxed geometry. The functional is GGA-PBE.

Cell: 3.5903 3.5903 38.8784 Å, 90.00 90.00 120.00°
Closest atoms and distances in Å follow each position.
Space group R-3m (No. 166, hexagonal axes)
Unique sites:
Na 0.0000 0.0000 0.0000  2 Pr 3.58, 6 Na 3.59
Pr 0.0000 0.0000 0.0921  3 Dy 3.56, 1 Na 3.58, 6 Pr 3.59
Dy 0.0000 0.0000 0.5000  6 Pr 3.56, 6 Dy 3.59

Computed properties:
E_form	122	meV per atom
uncorrected energy	-45.0	eV per cell
excess energy over the best structure of this formula in the dataset	32	meV/atom
crystal system	trigonal

(4)
This record from Alexandria via LeMat-Bulk describes crystalline LiCd5Pd6 at its relaxed geometry. The functional is GGA-PBE.

Cell: 4.2784 12.8625 7.4139 Å, 90.00 90.00 90.00°
Closest atoms and distances in Å follow each position.
Space group Cmmm (No. 65)
Unique sites:
Li 0.0000 0.0000 0.0000  8 Pd 2.80-2.81, 4 Cd 2.99
Cd 0.0000 0.0000 0.5000  8 Pd 2.84-2.85, 4 Cd 3.03
Cd 0.0000 0.3335 0.5000  8 Pd 2.85-2.87, 4 Cd 3.03
Cd 0.0000 0.3377 0.0000  8 Pd 2.77-2.87, 2 Li 2.99
Pd 0.0000 0.1654 0.2457  1 Li 2.80, 7 Cd 2.81-2.87, 4 Pd 3.02-3.05
Pd 0.0000 0.5000 0.2464  6 Cd 2.77-2.85, 2 Li 2.81, 4 Pd 3.02

Computed properties:
E_form	-418	meV per atom
uncorrected energy	-85.3	eV per cell
crystal system	orthorhombic